[1]
The following is a PBE calculation of a relaxed structure of Pm4PrCd2, from Alexandria.

Lattice parameters (Å, degrees): 5.9642 5.9642 7.6370 112.98 112.98 90.00
Last column: nearest neighbours and their distance in Å.
Atoms (fractional coordinates):
Cd (0.3711, 0.3711, 0.7422)  1 Cd 3.28, 8 Pm 3.36-3.40
Cd (0.6289, 0.6289, 0.2578)  1 Cd 3.28, 8 Pm 3.36-3.40
Pm (0.0000, 0.5000, 0.0000)  2 Pr 2.98, 2 Pm 3.18
Pm (0.2500, 0.7500, 0.5000)  2 Pm 3.18, 4 Cd 3.36
Pm (0.7500, 0.2500, 0.5000)  2 Pm 3.18, 4 Cd 3.36
Pm (0.5000, 0.0000, 0.0000)  2 Pr 2.98, 2 Pm 3.18
Pr (0.0000, 0.0000, 0.0000)  4 Pm 2.98

Values from the calculation:
total moment = 0.0 μB/f.u.
energy above the most stable polymorph in this dataset = 327 meV per atom
total energy = -24.3 eV per cell
formation energy from the elements = 0.188 eV/atom


[2]
The following is a PBE calculation of a relaxed structure of Pm12Pr6Cd, from Alexandria.

Lattice parameters (Å, degrees): 8.8467 8.8467 8.8467 97.41 97.41 97.41
Last column: nearest neighbours and their distance in Å.
Atoms (fractional coordinates):
Pm (0.4180, 0.8291, 0.4179)  5 Pm 3.25-3.58
Pm (0.1709, 0.5821, 0.5820)  5 Pm 3.25-3.58
Pm (0.2603, 0.0000, 0.7396)  4 Pr 3.42-3.56, 6 Pm 3.46-3.72, 1 Cd 3.46
Pm (0.5821, 0.5820, 0.1709)  5 Pm 3.25-3.58
Pm (0.0000, 0.7396, 0.2603)  4 Pr 3.42-3.56, 6 Pm 3.46-3.72, 1 Cd 3.46
Pm (0.7396, 0.2603, 0.0000)  4 Pr 3.42-3.56, 1 Cd 3.46, 6 Pm 3.46-3.72
Pm (0.4179, 0.4180, 0.8291)  5 Pm 3.25-3.58
Pm (0.8291, 0.4179, 0.4180)  5 Pm 3.25-3.58
Pm (0.5820, 0.1709, 0.5821)  5 Pm 3.25-3.58
Pm (0.0000, 0.2604, 0.7397)  4 Pr 3.42-3.56, 6 Pm 3.46-3.72, 1 Cd 3.46
Pm (0.7397, 0.0000, 0.2604)  4 Pr 3.42-3.56, 6 Pm 3.46-3.72, 1 Cd 3.46
Pm (0.2604, 0.7397, 0.0000)  4 Pr 3.42-3.56, 1 Cd 3.46, 6 Pm 3.46-3.72
Pr (0.8653, 0.5931, 0.8653)  4 Pm 3.42-3.56, 3 Pr 3.62-3.83, 1 Cd 3.64
Pr (0.1347, 0.4069, 0.1347)  4 Pm 3.42-3.56, 3 Pr 3.62-3.83, 1 Cd 3.64
Pr (0.1347, 0.1347, 0.4069)  4 Pm 3.42-3.56, 3 Pr 3.62-3.83, 1 Cd 3.64
Pr (0.8653, 0.8653, 0.5931)  4 Pm 3.42-3.56, 3 Pr 3.62-3.83, 1 Cd 3.64
Pr (0.4069, 0.1347, 0.1347)  4 Pm 3.42-3.56, 3 Pr 3.62-3.83, 1 Cd 3.64
Pr (0.5931, 0.8653, 0.8653)  4 Pm 3.42-3.56, 3 Pr 3.62-3.83, 1 Cd 3.64
Cd (0.0000, 0.0000, 0.0000)  6 Pm 3.46, 6 Pr 3.64

Values from the calculation:
total moment = 0.0 μB/f.u.
total energy = -84.6 eV per cell
formation energy from the elements = 0.103 eV/atom


[3]
The following is a PBE calculation of a relaxed structure of PmPrCd, from Alexandria.

Lattice parameters (Å, degrees): 5.3354 5.3354 5.3346 88.05 121.12 121.14
Last column: nearest neighbours and their distance in Å.
Atoms (fractional coordinates):
Cd (0.4444, 0.2222, 0.6665)  4 Pr 3.25, 4 Pm 3.25
Pm (0.9445, 0.4722, 0.4167)  4 Cd 3.25
Pr (0.9444, 0.9723, 0.9167)  4 Cd 3.25

Values from the calculation:
total moment = 0.0 μB/f.u.
energy above the most stable polymorph in this dataset = 283 meV per atom
total energy = -10.2 eV per cell
formation energy from the elements = 0.083 eV/atom